[1]
VASP calculation (GGA-PBE) on an optimized crystal structure of CePmTmHf.

a = 5.4354 Å, b = 5.4354 Å, c = 5.4354 Å
α = 60.00°, β = 60.00°, γ = 60.00°
Element x y z (fractional)
Pm (0.0000, 0.0000, 0.0000)
Tm (0.2500, 0.2500, 0.2500)
Ce (0.5000, 0.5000, 0.5000)
Hf (0.7500, 0.7500, 0.7500)

***

[2]
VASP calculation (GGA-PBE) on an optimized crystal structure of Zr2InCo.

a = 4.9337 Å, b = 4.9337 Å, c = 3.3300 Å
α = 90.00°, β = 90.00°, γ = 105.72°
Element x y z (fractional)
Zr (0.0000, 0.0000, 0.0000)
Zr (0.5000, 0.5000, 0.0000)
Co (0.5000, 0.0000, 0.5000)
In (0.0000, 0.5000, 0.5000)

***

[3]
VASP calculation (GGA-PBE) on an optimized crystal structure of AlInP.

a = 3.7636 Å, b = 3.7636 Å, c = 5.8330 Å
α = 90.00°, β = 90.00°, γ = 120.00°
Element x y z (fractional)
In (0.3333, 0.6667, 0.9593)
Al (0.0000, 0.0000, 0.3396)
P (0.3333, 0.6667, 0.4974)

***

no.,electronic total energy (eV per atom),M_tot (μB/f.u.),formation energy from the elements (meV/atom)
1,-6.025,0.42,253
2,-6.812,1.20,-77
3,-4.072,0.00,-108